BaInRe2 PBE relaxed; calculated volume = 108 Å³/f.u.; ΔE_f = 1.323 eV per formula unit
1.0
4.3307 -0.0039 0.0110
2.1707 3.7474 0.0110
2.1507 1.2384 6.6610
Re In Ba
2 1 1
Direct
0.2979 0.2979 0.1062
0.9803 0.9803 0.0590
0.7119 0.7119 0.8643
0.5099 0.5099 0.4704



BaIn2Re PBE relaxed; energy relative to the lowest polymorph listed for this composition = 0.136 eV per atom; calculated volume = 110 Å³/f.u.; ΔE_f = 1.996 eV per formula unit
1.0
-2.4199 -1.8582 2.0749
2.5361 -2.5807 0.6466
2.4727 4.0647 6.5240
Re In Ba
1 2 1
Direct
0.0000 0.0000 0.4163
0.5000 0.5000 0.3038
0.0000 0.0000 0.0623
0.5000 0.5000 0.7176



- Which formula does entry 2 have?
  BaIn2Re